Record 1
ThSnPdPt | GGA-PBE | optimized geometry

Results
Raw total energy: -26.05 eV/f.u.

Cell: 4.9531 4.9531 4.9531 Å, 60.00 60.00 60.00°
Fractional positions:
1 Sn 0.0000 0.0000 0.0000
2 Th 0.5000 0.5000 0.5000
3 Pd 0.2500 0.2500 0.2500
4 Pt 0.7500 0.7500 0.7500


Record 2
Tl2Sn2Pd7Pt | GGA-PBE | optimized geometry

Results
Raw total energy: -56.53 eV/f.u.

Cell: 3.8377 3.8377 16.2884 Å, 83.04 83.04 89.98°
Fractional positions:
1 Pt 0.0000 0.0000 0.0000
2 Tl 0.3656 0.3656 0.2591
3 Pd 0.5671 0.0673 0.8705
4 Sn 0.8028 0.8028 0.3893
5 Pd 0.5000 0.5000 0.0000
6 Pd 0.7253 0.7253 0.5556
7 Sn 0.1972 0.1972 0.6107
8 Pd 0.0673 0.5671 0.8705
9 Pd 0.2747 0.2747 0.4444
10 Pd 0.9327 0.4329 0.1295
11 Tl 0.6344 0.6344 0.7409
12 Pd 0.4329 0.9327 0.1295


Record 3
USnPdPt | GGA-PBE | optimized geometry

Results
Raw total energy: -28.56 eV/f.u.

Cell: 4.8366 4.8366 4.8366 Å, 60.00 60.00 60.00°
Fractional positions:
1 Pt 0.7500 0.7500 0.7500
2 Sn 0.5000 0.5000 0.5000
3 U 0.0000 0.0000 0.0000
4 Pd 0.2500 0.2500 0.2500


Record 4
YSnPd2Pt | GGA-PBE | optimized geometry

Results
Raw total energy: -27.50 eV/f.u.

Cell: 4.9019 4.9786 4.9019 Å, 90.00 90.00 90.00°
Fractional positions:
1 Sn 0.0000 0.0000 0.0000
2 Pd 0.0000 0.0000 0.5000
3 Pt 0.0000 0.5000 0.0000
4 Y 0.5000 0.5000 0.5000
5 Pd 0.5000 0.0000 0.0000


Record 5
ZrSnPdPt | GGA-PBE | optimized geometry

Results
Raw total energy: -26.58 eV/f.u.

Cell: 4.2044 4.2048 5.1292 Å, 114.20 114.20 90.00°
Fractional positions:
1 Sn 0.5000 0.5000 0.0000
2 Pd 0.7500 0.2500 0.5000
3 Zr 0.0000 0.0000 0.0000
4 Pt 0.2500 0.7500 0.5000


Record 6
Sr4Pd2Pt | GGA-PBE | optimized geometry

Results
Raw total energy: -27.12 eV/f.u.

Cell: 5.2716 5.2716 9.1954 Å, 73.34 73.34 60.00°
Fractional positions:
1 Sr 0.1220 0.1220 0.6341
2 Pd 0.7517 0.7517 0.7450
3 Sr 0.8780 0.8780 0.3659
4 Sr 0.3717 0.3717 0.8848
5 Pd 0.2483 0.2483 0.2550
6 Sr 0.6283 0.6283 0.1152
7 Pt 0.0000 0.0000 0.0000


Record 7
SrPdPt | GGA-PBE | optimized geometry

Results
Raw total energy: -14.78 eV/f.u.
Relative energy among the computed polymorphs: 0.42 eV/f.u.

Cell: 4.2476 4.4340 4.4340 Å, 120.00 90.00 90.00°
Fractional positions:
1 Pt 0.1667 0.3333 0.6667
2 Pd 0.1666 0.0000 0.0000
3 Sr 0.6667 0.6667 0.3333


Record 8
Sr2PdPt | GGA-PBE | optimized geometry

Results
Raw total energy: -11.53 eV/f.u.

Cell: 8.2405 8.2405 8.2405 Å, 98.03 129.59 102.89°
Fractional positions:
1 Sr 0.0000 0.7488 0.7488
2 Pd 0.0000 0.0000 0.0000
3 Pt 0.0000 0.5000 0.5000
4 Sr 0.0000 0.2512 0.2512


Record 9
SrPd6Pt6 | GGA-PBE | optimized geometry

Results
Raw total energy: -72.02 eV/f.u.

Cell: 5.3436 7.0150 7.0150 Å, 81.44 67.61 67.61°
Fractional positions:
1 Pt 0.5000 0.0000 0.5000
2 Pd 0.6497 0.3503 0.3503
3 Pt 0.5000 0.2312 0.7688
4 Pd 0.7079 0.7921 0.7921
5 Pd 0.0000 0.6499 0.3501
6 Pt 0.5000 0.5000 0.0000
7 Pt 0.5000 0.7688 0.2312
8 Pt 0.0000 0.5000 0.0000
9 Sr 0.0000 0.0000 0.0000
10 Pd 0.0000 0.3501 0.6499
11 Pd 0.3503 0.6497 0.6497
12 Pd 0.2921 0.2079 0.2079
13 Pt 0.0000 0.0000 0.5000


Record 10
SrPd2Pt | GGA-PBE | optimized geometry

Results
Raw total energy: -18.90 eV/f.u.
Relative energy among the computed polymorphs: 1.43 eV/f.u.

Cell: 4.6581 4.6581 9.7486 Å, 76.18 76.18 90.00°
Fractional positions:
1 Sr 0.5000 0.5000 0.0000
2 Pd 0.3750 0.2264 0.7500
3 Pd 0.7736 0.1250 0.2500
4 Pd 0.9764 0.6250 0.2500
5 Pt 0.7500 0.2500 0.5000
6 Sr 0.2500 0.7500 0.5000
7 Pt 0.0000 0.0000 0.0000
8 Pd 0.8750 0.0236 0.7500


Record 11
Sr2Pd2Pt | GGA-PBE | optimized geometry

Results
Raw total energy: -23.22 eV/f.u.
Relative energy among the computed polymorphs: 0.00 eV/f.u.

Cell: 4.6746 5.5999 5.8126 Å, 118.80 113.71 90.00°
Fractional positions:
1 Sr 0.1973 0.6973 0.3946
2 Sr 0.8027 0.3027 0.6054
3 Pd 0.5000 0.2534 0.0000
4 Pd 0.5000 0.7466 0.0000
5 Pt 0.0000 0.0000 0.0000


Record 12
Sr4PdPt | GGA-PBE | optimized geometry

Results
Raw total energy: -21.29 eV/f.u.

Cell: 7.4487 7.4491 9.1380 Å, 65.83 65.82 89.99°
Fractional positions:
1 Sr 0.3731 0.8742 0.2530
2 Sr 0.6259 0.6258 0.7470
3 Pt 0.0000 0.0000 0.5000
4 Pt 0.5000 0.5000 0.5000
5 Sr 0.1257 0.6268 0.7472
6 Sr 0.3741 0.3742 0.2530
7 Pd 0.7498 0.2500 0.0000
8 Sr 0.1269 0.1268 0.7472
9 Sr 0.8743 0.3732 0.2528
10 Sr 0.8731 0.8732 0.2528
11 Sr 0.6269 0.1258 0.7470
12 Pd 0.2502 0.7500 0.0000


Record 13
Sr2PdPt | GGA-PBE | optimized geometry

Results
Raw total energy: -17.44 eV/f.u.

Cell: 4.5450 6.0277 8.4858 Å, 110.65 90.00 90.00°
Fractional positions:
1 Pt 0.7500 0.6450 0.7861
2 Pt 0.2500 0.3550 0.2139
3 Sr 0.7500 0.2229 0.4274
4 Sr 0.7500 0.2183 0.9332
5 Sr 0.2500 0.7817 0.0668
6 Sr 0.2500 0.7771 0.5726
7 Pd 0.7500 0.6463 0.2856
8 Pd 0.2500 0.3537 0.7144


Record 14
SrPd2Pt | GGA-PBE | optimized geometry

Results
Raw total energy: -20.32 eV/f.u.
Relative energy among the computed polymorphs: 0.00 eV/f.u.

Cell: 5.5423 5.5423 9.5178 Å, 73.07 73.07 60.00°
Fractional positions:
1 Pd 0.5833 0.0820 0.7514
2 Sr 0.8598 0.8598 0.4205
3 Pt 0.5000 0.5000 0.5000
4 Pt 0.6680 0.6680 0.9961
5 Pd 0.4167 0.4167 0.2486
6 Pd 0.9180 0.4167 0.2486
7 Sr 0.0000 0.0000 0.0000
8 Pd 0.0820 0.5833 0.7514
9 Sr 0.1402 0.1402 0.5795
10 Pd 0.5833 0.5833 0.7514
11 Pt 0.3320 0.3320 0.0039
12 Pd 0.4167 0.9180 0.2486


Record 15
Sr2PdPt | GGA-PBE | optimized geometry

Results
Raw total energy: -17.22 eV/f.u.

Cell: 5.2378 5.2378 5.2378 Å, 60.00 60.00 60.00°
Fractional positions:
1 Sr 0.5000 0.5000 0.5000
2 Pt 0.7500 0.7500 0.7500
3 Pd 0.2500 0.2500 0.2500
4 Sr 0.0000 0.0000 0.0000


Record 16
Sr8Pd2Pt | GGA-PBE | optimized geometry

Results
Raw total energy: -34.79 eV/f.u.

Cell: 7.3085 8.2266 8.2266 Å, 71.81 75.70 75.70°
Fractional positions:
1 Sr 0.7436 0.9416 0.3514
2 Sr 0.7436 0.3514 0.9416
3 Pd 0.5561 0.6828 0.6828
4 Sr 0.7477 0.8632 0.8632
5 Sr 0.7684 0.4222 0.4222
6 Sr 0.2523 0.1368 0.1368
7 Sr 0.2316 0.5778 0.5778
8 Pd 0.4439 0.3172 0.3172
9 Pt 0.0000 0.0000 0.0000
10 Sr 0.2564 0.6486 0.0584
11 Sr 0.2564 0.0584 0.6486


Record 17
Sr2Pd2Pt | GGA-PBE | optimized geometry

Results
Raw total energy: -22.26 eV/f.u.
Relative energy among the computed polymorphs: 0.96 eV/f.u.

Cell: 3.7916 3.7916 9.0194 Å, 77.87 77.87 90.00°
Fractional positions:
1 Pd 0.2500 0.7500 0.5000
2 Pd 0.7500 0.2500 0.5000
3 Pt 0.0000 0.0000 0.0000
4 Sr 0.3957 0.3957 0.2085
5 Sr 0.6043 0.6043 0.7915


Record 18
Sr8PdPt2 | GGA-PBE | optimized geometry

Results
Raw total energy: -36.28 eV/f.u.

Cell: 7.3703 8.1318 8.1318 Å, 71.76 75.98 75.98°
Fractional positions:
1 Sr 0.7611 0.4265 0.4265
2 Sr 0.2544 0.1387 0.1387
3 Sr 0.2389 0.5735 0.5735
4 Sr 0.7383 0.9443 0.3562
5 Pt 0.5477 0.6855 0.6855
6 Pd 0.0000 0.0000 0.0000
7 Pt 0.4523 0.3145 0.3145
8 Sr 0.2617 0.6438 0.0557
9 Sr 0.7456 0.8613 0.8613
10 Sr 0.2617 0.0557 0.6438
11 Sr 0.7383 0.3562 0.9443


Record 19
SrPd4Pt2 | GGA-PBE | optimized geometry

Results
Raw total energy: -36.91 eV/f.u.

Cell: 5.3518 5.5285 5.5285 Å, 76.53 61.17 61.17°
Fractional positions:
1 Pd 0.7004 0.5990 0.0001
2 Pt 0.2498 0.5001 0.5001
3 Pd 0.2995 0.9999 0.4011
4 Pt 0.7502 0.4999 0.4999
5 Sr 0.0000 0.0000 0.0000
6 Pd 0.7005 0.0001 0.5989
7 Pd 0.2995 0.4010 0.9999


Record 20
Sr5PdPt | GGA-PBE | optimized geometry

Results
Raw total energy: -22.97 eV/f.u.

Cell: 4.4758 8.4566 14.1892 Å, 87.18 90.00 90.00°
Fractional positions:
1 Sr 0.2500 0.8590 0.0706
2 Sr 0.2500 0.3511 0.1282
3 Sr 0.7500 0.3235 0.4825
4 Sr 0.7500 0.6567 0.2768
5 Sr 0.2500 0.6765 0.5175
6 Sr 0.2500 0.0645 0.3232
7 Pd 0.2500 0.9410 0.8417
8 Pt 0.7500 0.5619 0.6519
9 Sr 0.2500 0.3433 0.7232
10 Pd 0.7500 0.0590 0.1583
11 Sr 0.7500 0.9355 0.6768
12 Pt 0.2500 0.4381 0.3481
13 Sr 0.7500 0.1410 0.9294
14 Sr 0.7500 0.6489 0.8718


Record 21
Sr2Pd2Pt | GGA-PBE | optimized geometry

Results
Raw total energy: -23.09 eV/f.u.
Relative energy among the computed polymorphs: 0.13 eV/f.u.

Cell: 5.6846 5.6846 8.5684 Å, 78.21 78.21 61.39°
Fractional positions:
1 Pd 0.2539 0.0002 0.4994
2 Pd 0.0002 0.2539 0.9994
3 Pd 0.7461 0.9998 0.5006
4 Pt 0.1618 0.8382 0.2500
5 Sr 0.5168 0.7852 0.8467
6 Sr 0.4832 0.2148 0.1533
7 Sr 0.2148 0.4832 0.6533
8 Pd 0.9998 0.7461 0.0006
9 Pt 0.8382 0.1618 0.7500
10 Sr 0.7852 0.5168 0.3467


Record 22
SrPd8Pt4 | GGA-PBE | optimized geometry

Results
Raw total energy: -70.13 eV/f.u.

Cell: 5.3162 7.0244 7.0244 Å, 81.77 67.76 67.76°
Fractional positions:
1 Pt 0.0000 0.0000 0.5000
2 Pd 0.5000 0.2237 0.7763
3 Pt 0.5000 0.0000 0.5000
4 Sr 0.0000 0.0000 0.0000
5 Pd 0.6495 0.3505 0.3505
6 Pd 0.3505 0.6495 0.6495
7 Pd 0.7237 0.7763 0.7763
8 Pd 0.0000 0.6495 0.3505
9 Pt 0.0000 0.5000 0.0000
10 Pd 0.0000 0.3505 0.6495
11 Pt 0.5000 0.5000 0.0000
12 Pd 0.5000 0.7763 0.2237
13 Pd 0.2763 0.2237 0.2237


Record 23
Sr2Pd2Pt | GGA-PBE | optimized geometry

Results
Raw total energy: -21.73 eV/f.u.
Relative energy among the computed polymorphs: 1.49 eV/f.u.

Cell: 5.8050 5.8050 5.6790 Å, 59.26 59.26 90.00°
Fractional positions:
1 Sr 0.2500 0.7500 0.5000
2 Pd 0.6638 0.6638 0.6724
3 Pd 0.3362 0.3362 0.3276
4 Sr 0.7500 0.2500 0.5000
5 Pt 0.0000 0.0000 0.0000


Record 24
Sr3Pd7Pt2 | GGA-PBE | optimized geometry

Results
Raw total energy: -59.71 eV/f.u.

Cell: 5.5460 5.5460 9.5382 Å, 73.10 73.10 60.00°
Fractional positions:
1 Pd 0.0809 0.5831 0.7529
2 Pd 0.5831 0.0809 0.7529
3 Pd 0.5831 0.5831 0.7529
4 Sr 0.0000 0.0000 0.0000
5 Sr 0.8604 0.8604 0.4189
6 Pd 0.5000 0.5000 0.5000
7 Pd 0.9191 0.4169 0.2471
8 Pd 0.4169 0.4169 0.2471
9 Pt 0.6675 0.6675 0.9975
10 Sr 0.1396 0.1396 0.5811
11 Pd 0.4169 0.9191 0.2471
12 Pt 0.3325 0.3325 0.0025


Record 25
SrPdPt3 | GGA-PBE | optimized geometry

Results
Raw total energy: -16.45 eV/f.u.
Relative energy among the computed polymorphs: 6.84 eV/f.u.

Cell: 5.1162 5.1162 5.1162 Å, 90.00 90.00 90.00°
Fractional positions:
1 Sr 0.0000 0.0000 0.0000
2 Pt 0.5000 0.0000 0.0000
3 Pt 0.0000 0.5000 0.0000
4 Pd 0.5000 0.5000 0.5000
5 Pt 0.0000 0.0000 0.5000


What did we get for ΔH_f (0 K)? Answer: -0.849; -0.116; -0.508; -0.122; -0.699; -0.566; -0.620; 0.766; -0.226; -0.197; -0.686; -0.555; -0.711; -0.554; -0.656; -0.446; -0.494; -0.504; -0.339; -0.475; -0.659; -0.211; -0.388; -0.519; 1.710 eV per atom, in the order shown.